No. 1
# Pa3Zn2Cu4

A geometry-optimized Pa3Zn2Cu4 structure (PBE-GGA, Alexandria via LeMat-Bulk).

Cell: 10.0064 4.4490 8.3242 Å, 90.00 118.81 90.00°
Closest atoms and distances in Å follow each position.
Space group C2/m (No. 12)
One atom of each set of equivalent atoms:
Pa 0.0000 0.0000 0.0000 x2  8 Cu 2.99-3.07, 4 Zn 3.04, 2 Pa 3.16
Pa 0.1617 0.5000 0.6728 x4  8 Cu 2.91-3.06, 4 Zn 3.00-3.05, 2 Pa 3.13-3.16
Zn 0.1192 0.5000 0.2849 x4  3 Cu 2.57-2.58
Cu 0.0673 0.0000 0.4009 x4  2 Zn 2.58, 1 Cu 2.58
Cu 0.2160 0.5000 0.0491 x4  2 Cu 2.57, 1 Zn 2.57

Values from the calculation:
For the mass density, the calculation gives 11.0 g/cm³. As for the formation energy: -0.47 eV/f.u. For the volume, the calculation gives 18.0 Å³/atom. As for the energy: -5.321 eV/atom. The total magnetization is 2.4 Bohr magnetons per cell.



No. 2
# PaZn4Cu5

A geometry-optimized PaZn4Cu5 structure (PBE-GGA, Alexandria via LeMat-Bulk).

Cell: 3.0244 3.0244 15.5824 Å, 90.00 90.00 90.00°
Closest atoms and distances in Å follow each position.
Space group P4/mmm (No. 123)
One atom of each set of equivalent atoms:
Pa 0.0000 0.0000 0.0000 x1  8 Cu 2.99, 4 Pa 3.02
Zn 0.0000 0.0000 0.2229 x2  8 Cu 2.54-2.60
Zn 0.0000 0.0000 0.4083 x2  8 Cu 2.57, 1 Zn 2.86
Cu 0.5000 0.5000 0.1344 x2  4 Zn 2.54, 1 Cu 2.85
Cu 0.5000 0.5000 0.3172 x2  8 Zn 2.57-2.60, 2 Cu 2.85
Cu 0.5000 0.5000 0.5000 x1  8 Zn 2.57, 2 Cu 2.85

Values from the calculation:
For the mass density, the calculation gives 9.4 g/cm³. As for the formation energy: -0.61 eV/f.u. For the volume, the calculation gives 14.3 Å³/atom. As for the energy: -3.568 eV/atom. The total magnetization is 0.0 Bohr magnetons per cell.



No. 3
# PaZnCu

A geometry-optimized PaZnCu structure (PBE-GGA, Alexandria via LeMat-Bulk).

Cell: 6.2897 6.2897 6.2897 Å, 90.00 90.00 90.00°
Closest atoms and distances in Å follow each position.
Space group F-43m (No. 216)
One atom of each set of equivalent atoms:
Pa 0.0000 0.0000 0.0000 x4  4 Cu 2.72
Zn 0.0000 0.0000 0.5000 x4  4 Cu 2.72
Cu 0.2500 0.2500 0.2500 x4  4 Zn 2.72, 4 Pa 2.72

Values from the calculation:
For the mass density, the calculation gives 9.6 g/cm³. As for the formation energy: 0.43 eV/f.u. For the volume, the calculation gives 20.7 Å³/atom. As for the energy: -4.812 eV/atom. The total magnetization is 0.0 Bohr magnetons per cell.



No. 4
# PaZn2Cu4

A geometry-optimized PaZn2Cu4 structure (PBE-GGA, Alexandria via LeMat-Bulk).

Cell: 6.4348 6.4348 5.0160 Å, 90.00 90.00 90.00°
Closest atoms and distances in Å follow each position.
Space group I4/mmm (No. 139)
One atom of each set of equivalent atoms:
Pa 0.0000 0.0000 0.0000 x2  12 Cu 2.81-3.05
Zn 0.0000 0.5000 0.2500 x4  2 Zn 2.51, 8 Cu 2.65
Cu 0.1911 0.1911 0.5000 x8  4 Cu 2.46-2.73, 4 Zn 2.65

Values from the calculation:
For the mass density, the calculation gives 9.9 g/cm³. As for the formation energy: -0.94 eV/f.u. For the volume, the calculation gives 14.8 Å³/atom. As for the energy: -4.195 eV/atom. The total magnetization is 0.0 Bohr magnetons per cell.